a | DFT (PBE) results for a relaxed LiErCdSe3 crystal.

The structure in POSCAR format:
```
LiErCdSe3
1.0
-6.7497 6.1086 -10.1698
-3.4184 -1.9066 1.1236
-2.5776 8.7142 6.9450
Cd Er Li Se
4 4 4 12
Cartesian
-9.3214 5.3331 -8.2406
-6.7124 4.8680 -1.0922
-6.0332 8.0481 -1.0090
-3.4243 7.5831 6.1394
-4.3783 3.6518 -3.4341
-8.2830 8.4974 -7.0914
-4.4626 4.4187 4.9902
-8.3673 9.2643 1.3330
-6.1808 5.5602 -5.6796
-3.1119 3.5403 0.2297
-9.6337 9.3758 -2.3309
-6.5649 7.3559 3.5784
-6.8415 2.9706 -4.7048
-1.7838 1.1959 0.2921
-5.4033 2.5985 -0.9606
-8.8886 6.0263 -5.7478
-5.7756 6.3360 -3.1304
-4.3281 2.8284 2.7009
-8.4175 10.0878 -4.8021
-6.9701 6.5802 1.0293
-3.8570 6.8899 3.6466
-7.3423 10.3177 -1.1406
-10.9619 11.7203 -2.3933
-5.9041 9.9456 2.6037
```

Calculated values
SG: Pnma, No. 62

b | DFT (PBE) results for a relaxed LiErCdSe3 crystal.

The structure in POSCAR format:
```
LiErCdSe3
1.0
4.0628 0.0000 0.0000
2.0314 6.5964 0.0000
0.0000 0.0000 11.0483
Cd Er Li Se
2 2 2 6
Cartesian
4.0628 6.2925 2.7621
2.0314 0.3038 8.2862
0.0000 0.0000 0.0000
0.0000 0.0000 5.5242
2.0314 3.4978 2.7621
4.0628 3.0986 8.2862
4.0628 4.7219 0.6929
4.0628 1.3948 2.7621
4.0628 4.7219 4.8312
2.0314 1.8745 6.2171
2.0314 5.2016 8.2862
2.0314 1.8745 10.3554
```

Calculated values
SG: Cmcm, No. 63

Most stable pick: a. Distance to second place: 80 meV/atom.

a | DFT (PBE) results for a relaxed ErCdMo crystal.

The structure in POSCAR format:
```
ErCdMo
1.0
0.0000 3.3740 3.3740
3.3740 0.0000 3.3740
3.3740 3.3740 0.0000
Cd Er Mo
1 1 1
Cartesian
1.6870 1.6870 1.6870
5.0610 5.0610 5.0610
0.0000 0.0000 0.0000
```

Calculated values
SG: F-43m, No. 216

b | DFT (PBE) results for a relaxed ErCdMo crystal.

The structure in POSCAR format:
```
ErCdMo
1.0
0.0000 3.4012 3.4012
3.4012 0.0000 3.4012
3.4012 3.4012 0.0000
Cd Er Mo
1 1 1
Cartesian
1.7006 1.7006 1.7006
0.0000 0.0000 0.0000
5.1018 5.1018 5.1018
```

Calculated values
SG: F-43m, No. 216

Most stable pick: a. Distance to second place: 306 meV/atom.

a | DFT (PBE) results for a relaxed NaErCdSe3 crystal.

The structure in POSCAR format:
```
NaErCdSe3
1.0
13.9775 0.0000 0.0000
0.0000 4.1542 0.0000
0.0000 0.0000 11.2555
Cd Er Na Se
4 4 4 12
Cartesian
7.2065 3.1157 1.1220
0.2177 3.1157 4.5058
13.7599 1.0386 6.7497
6.7711 1.0386 10.1335
0.3175 1.0386 1.7098
7.3063 1.0386 3.9179
6.6713 3.1157 7.3375
13.6601 3.1157 9.5457
10.4035 1.0386 0.7550
3.4147 1.0386 4.8728
10.5629 3.1157 6.3827
3.5741 3.1157 10.5005
12.5337 3.1157 0.8404
5.5225 1.0386 1.3861
2.0682 3.1157 2.6727
9.0570 3.1157 2.9550
12.5112 1.0386 4.2417
5.5449 3.1157 4.7874
8.4326 1.0386 6.4681
1.4663 3.1157 7.0138
4.9206 1.0386 8.3005
11.9093 1.0386 8.5828
8.4551 3.1157 9.8694
1.4439 1.0386 10.4151
```

Calculated values
SG: Pnma, No. 62

b | DFT (PBE) results for a relaxed NaErCdSe3 crystal.

The structure in POSCAR format:
```
NaErCdSe3
1.0
-5.0609 0.3766 -5.1627
-5.0316 -3.5341 -3.8210
-7.5864 2.5587 7.6235
Cd Er Na Se
2 2 2 6
Cartesian
-6.6025 -0.8326 -2.2831
-11.0763 0.2338 0.9228
0.0000 0.0000 0.0000
-3.7932 1.2793 3.8117
-9.5111 -1.7425 -4.8721
-8.1678 1.1438 3.5119
-4.0658 -1.0075 -2.8483
-2.7840 0.3621 1.1160
-7.0455 -0.0026 0.1459
-10.6334 -0.5962 -1.5061
-14.8949 -0.9608 -2.4762
-13.6130 0.4088 1.4881
```

Calculated values
SG: Cmcm, No. 63

Most stable pick: a. Distance to second place: 9 meV/atom.